Entry 1:
DFT (PBE) results for Ho2TlBr after structural relaxation.

Geometry as POSCAR:
```
Ho2TlBr
1.0
4.3576 0.0000 0.0000
-2.1788 3.7738 0.0000
0.0000 0.0000 22.3040
Ho Tl Br
6 3 3
direct
0.0000 0.0000 0.0000 Ho
0.0000 0.0000 0.1903 Ho
0.3333 0.6667 0.6667 Ho
0.3333 0.6667 0.8570 Ho
0.6667 0.3333 0.3333 Ho
0.6667 0.3333 0.5237 Ho
0.0000 0.0000 0.5955 Tl
0.3333 0.6667 0.2622 Tl
0.6667 0.3333 0.9289 Tl
0.0000 0.0000 0.4211 Br
0.3333 0.6667 0.0878 Br
0.6667 0.3333 0.7544 Br
```

Output
- space group = R3m
- ΔE_f (raw) (kJ/mol of formula units) = -186
- offset from the most stable computed form (meV per atom) = 88.5

***

Entry 2:
DFT (PBE) results for CsNClF2 after structural relaxation.

Geometry as POSCAR:
```
CsNClF2
1.0
5.0727 0.0000 0.0000
0.0000 5.0727 0.0000
0.0000 0.0000 5.3438
Cs N Cl F
1 1 1 2
direct
0.0000 0.0000 0.0000 Cs
0.0000 0.0000 0.5000 N
0.5000 0.5000 0.5000 Cl
0.0000 0.5000 0.0000 F
0.5000 0.0000 0.0000 F
```

Output
- space group = P4/mmm
- ΔE_f (raw) (kJ/mol of formula units) = 205
- offset from the most stable computed form (meV per atom) = 750.4

***

Look up the ΔE_f (raw) of the first one. -186 kJ/mol of formula units